KAl2IrO: relaxed, GGA-PBE.

Summary:
The calculation puts the density of states at the Fermi level at 0.254 states/eV per atom. Its volume is 78.5 Å³/f.u. Its uncorrected energy is -4.605 eV per atom. The space group is P4/mmm (123). As for the formation energy (no corrections): -60 kJ/mol of formula units.

Lattice parameters (Å, degrees): 4.110 4.110 4.649 90.00 90.00 90.00
Fractional positions:
K 0.000 0.000 0.000
Al 0.000 0.500 0.500
Al 0.500 0.000 0.500
Ir 0.500 0.500 0.000
O 0.000 0.000 0.500